Entry 1:
Density functional theory data (GGA-PBE) for a relaxed structure of AgRuPt2.

a = 9.328 Å, b = 2.762 Å, c = 4.924 Å
α = 90.00°, β = 99.54°, γ = 90.00°
Space group Cm (No. 8)
Unique sites:
1 Ag 0.000 0.000 0.000 x2
2 Ru 0.256 0.500 0.283 x2
3 Pt 0.244 0.000 0.761 x2
4 Pt 0.495 0.000 0.490 x2

Calculated values
- excess energy over the best structure of this formula in the dataset (eV per formula unit) = 0.48
- density of states at the Fermi level (states/eV per atom) = 1.1635



Entry 2:
Density functional theory data (GGA-PBE) for a relaxed structure of HfCuO2.

a = 4.689 Å, b = 4.689 Å, c = 10.659 Å
α = 90.00°, β = 90.00°, γ = 90.00°
Space group I-42d (No. 122)
Unique sites:
1 Hf 0.000 0.000 0.000 x4
2 Cu 0.000 0.000 0.500 x4
3 O 0.198 0.250 0.125 x8

Calculated values
- formation energy without anion corrections (eV/atom) = -1.787
- density of states at the Fermi level (states/eV per atom) = 0.2718



Entry 3:
Density functional theory data (GGA-PBE) for a relaxed structure of CePm3Pr2Se6.

a = 18.390 Å, b = 4.204 Å, c = 8.488 Å
α = 90.00°, β = 103.35°, γ = 90.00°
Space group C2/m (No. 12)
Unique sites:
1 Ce 0.000 0.000 0.000 x2
2 Pm 0.000 0.000 0.500 x2
3 Pm 0.168 0.500 0.835 x4
4 Pr 0.167 0.500 0.332 x4
5 Se 0.002 0.500 0.750 x4
6 Se 0.166 0.000 0.079 x4
7 Se 0.166 0.000 0.587 x4

Calculated values
- formation energy without anion corrections (eV/atom) = -1.838
- density of states at the Fermi level (states/eV per atom) = 0.9301



Entry 4:
Density functional theory data (GGA-PBE) for a relaxed structure of Sc5Rh4Au.

a = 3.215 Å, b = 3.215 Å, c = 16.864 Å
α = 90.00°, β = 90.00°, γ = 90.00°
Space group P4/mmm (No. 123)
Unique sites:
1 Sc 0.000 0.000 0.000 x1
2 Sc 0.000 0.000 0.194 x2
3 Sc 0.000 0.000 0.388 x2
4 Rh 0.500 0.500 0.097 x2
5 Rh 0.500 0.500 0.292 x2
6 Au 0.500 0.500 0.500 x1

Calculated values
- raw total energy (eV per atom) = -7.40
- density of states at the Fermi level (states/eV per atom) = 0.6079



Entry 5:
Density functional theory data (GGA-PBE) for a relaxed structure of PrZn2Cd2Au2.

a = 4.5949 Å, b = 4.5949 Å, c = 24.7860 Å
α = 90.00°, β = 90.00°, γ = 120.00°
Space group R-3m (No. 166, hexagonal axes)
Unique sites:
1 Pr 0.0000 0.0000 0.0000 x3
2 Zn 0.0000 0.0000 0.4082 x6
3 Cd 0.0000 0.0000 0.1360 x6
4 Au 0.0000 0.0000 0.2567 x6

Calculated values
- raw total energy (eV per atom) = -2.64
- density of states at the Fermi level (states/eV per atom) = 0.5411



Entry 6:
Density functional theory data (GGA-PBE) for a relaxed structure of Nd8Co2Au.

a = 8.386 Å, b = 13.520 Å, c = 5.829 Å
α = 90.00°, β = 107.37°, γ = 90.00°
Space group C2/m (No. 12)
Unique sites:
1 Nd 0.000 0.233 0.000 x4
2 Nd 0.119 0.500 0.821 x4
3 Nd 0.214 0.127 0.565 x8
4 Co 0.000 0.286 0.500 x4
5 Au 0.000 0.000 0.000 x2

Calculated values
- raw total energy (eV per atom) = -5.13
- density of states at the Fermi level (states/eV per atom) = 1.1595



Entry 7:
Density functional theory data (GGA-PBE) for a relaxed structure of Sc4GeSbSe2.

a = 6.869 Å, b = 3.951 Å, c = 6.881 Å
α = 90.00°, β = 109.25°, γ = 90.00°
Space group P2/m (No. 10)
Unique sites:
1 Sc 0.235 0.000 0.248 x2
2 Sc 0.236 0.500 0.744 x2
3 Ge 0.000 0.000 0.500 x1
4 Sb 0.500 0.500 0.500 x1
5 Se 0.000 0.500 0.000 x1
6 Se 0.500 0.000 0.000 x1

Calculated values
- formation energy without anion corrections (eV/atom) = -1.261
- density of states at the Fermi level (states/eV per atom) = 0.2110



Entry 8:
Density functional theory data (GGA-PBE) for a relaxed structure of ScRu2Pb.

a = 8.927 Å, b = 3.133 Å, c = 5.240 Å
α = 90.00°, β = 103.09°, γ = 90.00°
Space group C2/m (No. 12)
Unique sites:
1 Sc 0.000 0.000 0.000 x2
2 Ru 0.245 0.500 0.233 x4
3 Pb 0.000 0.500 0.500 x2

Calculated values
- raw total energy (eV per atom) = -7.07
- density of states at the Fermi level (states/eV per atom) = 0.6447